Entry from Alexandria via LeMat-Bulk: a geometry-optimized K3Er3VTe8 structure (PBE).

## Properties
* magnetic moment: 1.4 μB per cell
* energy relative to the elements, uncorrected: -1.095 eV per atom
* theoretical density: 5156 kg/m3
* volume: 544.5 Å³ per cell
* total DFT energy (no corrections): -4.510 eV per atom
* N(E_F): 8.10 states/eV/f.u.

The structure in CIF format:
```
data_K3Er3VTe8
_chemical_formula_sum 'K3 Er3 V1 Te8'
_cell_length_a 8.583
_cell_length_b 8.583
_cell_length_c 9.879
_cell_angle_alpha 115.80
_cell_angle_beta 115.80
_cell_angle_gamma 59.92
_symmetry_space_group_name_H-M 'P 1'
_symmetry_Int_Tables_number 1
loop_
_symmetry_equiv_pos_as_xyz
'x,y,z'
loop_
_atom_site_label
_atom_site_fract_x
_atom_site_fract_y
_atom_site_fract_z
K1 0.000 0.000 0.000
K2 0.000 0.500 0.000
K3 0.500 0.000 0.000
Er1 0.000 0.500 0.500
Er2 0.500 0.000 0.500
Er3 0.500 0.500 0.500
V1 0.000 0.000 0.500
Te1 0.220 0.220 0.694
Te2 0.220 0.755 0.694
Te3 0.245 0.780 0.306
Te4 0.264 0.264 0.291
Te5 0.736 0.736 0.709
Te6 0.755 0.220 0.694
Te7 0.780 0.245 0.306
Te8 0.780 0.780 0.306
```